No. 1
5
Lattice="5.789 0.000 0.000 0.000 5.789 0.000 0.000 0.000 6.236" Properties=species:S:1:pos:R:3 comment="CsCaTeBr2 | Alexandria | PBE | optimized geometry" space_group=P4/mmm dos_at_fermi_per_ev_cell=4.921 formation_energy_uncorrected_ev_per_atom=-1.422 magmom_total_mub_per_fu=1.0 pbc="T T T"
Ca 0.000 0.000 0.000
Cs 2.894 2.894 3.118
Br 0.000 2.894 0.000
Te 0.000 0.000 3.118
Br 2.894 0.000 0.000

No. 2
10
Lattice="8.649 0.000 0.000 0.000 8.649 0.000 4.324 4.324 5.660" Properties=species:S:1:pos:R:3 comment="Cs2CaTeBr6 | Alexandria | PBE | optimized geometry" space_group=I4/mmm dos_at_fermi_per_ev_cell=0.000 formation_energy_uncorrected_ev_per_atom=-1.288 magmom_total_mub_per_fu=2.0 pbc="T T T"
Br 2.309 2.309 0.000
Te 0.000 0.000 0.000
Br 6.340 2.309 0.000
Br 4.324 4.324 2.963
Ca 4.324 4.324 0.000
Cs 8.649 4.324 2.830
Cs 4.324 8.649 2.830
Br 2.309 6.340 0.000
Br 6.340 6.340 0.000
Br 8.649 8.649 2.697